1.
Material: Au2IBr8
Method: DFT, PBE
State: relaxed

abc: 8.689 9.196 9.196
angles: 55.16 87.64 87.64
Sites, in units of the cell vectors:
I 0.000 0.000 0.000
Br 0.582 0.369 0.369
Br 0.621 0.671 0.072
Br 0.418 0.631 0.631
Br 0.877 0.158 0.158
Br 0.379 0.928 0.329
Br 0.123 0.842 0.842
Br 0.379 0.329 0.928
Br 0.621 0.072 0.671
Au 0.406 0.857 0.857
Au 0.594 0.143 0.143

Computed properties:
Total magnetization = 0.000 μB/atom
Calculated volume = 602.52 Å³/cell
DOS(E_F) = 5.3 states/eV/cell
Raw formation energy = 14 meV/atom



2.
Material: La3Te6Pb
Method: DFT, PBE
State: relaxed

abc: 7.807 9.990 9.990
angles: 103.24 90.00 90.00
Sites, in units of the cell vectors:
Te 0.730 0.546 0.087
Te 0.678 0.302 0.373
Te 0.230 0.087 0.546
Te 0.616 0.227 0.773
Te 0.698 0.977 0.023
Te 0.678 0.627 0.698
Te 0.178 0.698 0.627
Te 0.178 0.373 0.302
Te 0.230 0.454 0.913
Te 0.116 0.773 0.227
Te 0.198 0.023 0.977
Te 0.730 0.913 0.454
La 0.980 0.087 0.281
La 0.380 0.406 0.594
La 0.880 0.594 0.406
La 0.480 0.913 0.719
La 0.480 0.281 0.087
La 0.980 0.719 0.913
Pb 0.517 0.801 0.199
Pb 0.017 0.199 0.801

Computed properties:
Total magnetization = 0.000 μB/atom
Calculated volume = 758.45 Å³/cell
DOS(E_F) = 8.7 states/eV/cell
Raw formation energy = -1206 meV/atom



3.
Material: Pm3Ga4Cu2
Method: DFT, PBE
State: relaxed

abc: 4.427 5.765 8.502
angles: 105.49 90.00 112.58
Sites, in units of the cell vectors:
Cu 0.657 0.314 0.325
Cu 0.343 0.686 0.675
Pm 0.359 0.718 0.318
Pm 0.641 0.282 0.682
Pm 0.000 0.000 0.000
Ga 0.091 0.182 0.411
Ga 0.279 0.558 0.933
Ga 0.909 0.818 0.589
Ga 0.721 0.442 0.067

Computed properties:
Total magnetization = 0.000 μB/atom
Calculated volume = 191.80 Å³/cell
DOS(E_F) = 6.5 states/eV/cell
Energy relative to the elements = -0.5333 eV/atom



4.
Material: BaSmPaN3
Method: DFT, PBE
State: relaxed

abc: 3.670 6.246 9.693
angles: 102.13 90.00 90.00
Sites, in units of the cell vectors:
N 0.250 0.445 0.878
N 0.750 0.555 0.122
N 0.750 0.217 0.511
N 0.250 0.976 0.877
N 0.250 0.783 0.489
N 0.750 0.024 0.123
Sm 0.250 0.139 0.640
Sm 0.750 0.861 0.360
Pa 0.750 0.237 0.960
Pa 0.250 0.763 0.040
Ba 0.250 0.345 0.307
Ba 0.750 0.655 0.693

Computed properties:
Total magnetization = 0.086 μB/atom
Calculated volume = 217.25 Å³/cell
DOS(E_F) = 5.9 states/eV/cell
Raw formation energy = -1219 meV/atom



5.
Material: Ca2GeH2
Method: DFT, PBE
State: relaxed

abc: 7.285 7.285 3.040
angles: 90.00 90.00 90.00
Sites, in units of the cell vectors:
Ca 0.835 0.335 0.500
Ca 0.665 0.835 0.500
Ca 0.335 0.165 0.500
Ca 0.165 0.665 0.500
Ge 0.500 0.500 0.000
Ge 0.000 0.000 0.000
H 0.105 0.395 0.000
H 0.895 0.605 0.000
H 0.395 0.895 0.000
H 0.605 0.105 0.000

Computed properties:
Total magnetization = 0.000 μB/atom
Calculated volume = 161.35 Å³/cell
Total energy = -32.977 eV for the cell shown
DOS(E_F) = 1.8 states/eV/cell



6.
Material: CsBiPbF6
Method: DFT, PBE
State: relaxed

abc: 8.492 8.815 8.738
angles: 120.29 119.07 90.00
Sites, in units of the cell vectors:
Cs 0.921 0.671 0.841
Cs 0.079 0.329 0.159
F 0.184 0.337 0.759
F 0.816 0.078 0.241
F 0.844 0.094 0.688
F 0.425 0.078 0.241
F 0.156 0.906 0.312
F 0.448 0.698 0.897
F 0.816 0.663 0.241
F 0.575 0.337 0.759
F 0.184 0.922 0.759
F 0.552 0.302 0.103
F 0.425 0.663 0.241
F 0.575 0.922 0.759
Bi 0.500 0.500 0.000
Bi 0.500 0.000 0.000
Pb 0.500 0.000 0.500
Pb 0.000 0.000 0.500

Computed properties:
Total magnetization = 0.000 μB/atom
Calculated volume = 466.86 Å³/cell
DOS(E_F) = 0.0 states/eV/cell
Raw formation energy = -2486 meV/atom



7.
Material: EuMgCdPd
Method: DFT, PBE
State: relaxed

abc: 5.068 5.068 5.068
angles: 60.00 60.00 60.00
Sites, in units of the cell vectors:
Cd 0.000 0.000 0.000
Pd 0.500 0.500 0.500
Eu 0.250 0.250 0.250
Mg 0.750 0.750 0.750

Computed properties:
Total magnetization = 1.792 μB/atom
Calculated volume = 92.05 Å³/cell
DOS(E_F) = 8.2 states/eV/cell
Energy relative to the elements = -0.3796 eV/atom



8.
Material: TeAuF2
Method: DFT, PBE
State: relaxed

abc: 4.462 4.462 4.462
angles: 60.00 60.00 60.00
Sites, in units of the cell vectors:
F 0.250 0.250 0.250
F 0.750 0.750 0.750
Te 0.000 0.000 0.000
Au 0.500 0.500 0.500

Computed properties:
Total magnetization = 0.000 μB/atom
Calculated volume = 62.83 Å³/cell
DOS(E_F) = 3.2 states/eV/cell
Raw formation energy = -445 meV/atom



9.
Material: CaAuBr2
Method: DFT, PBE
State: relaxed

abc: 4.138 5.121 7.662
angles: 53.21 90.00 90.00
Sites, in units of the cell vectors:
Br 0.000 0.325 0.477
Br 0.000 0.175 0.023
Au 0.500 0.750 0.750
Ca 0.500 0.250 0.250

Computed properties:
Total magnetization = 0.000 μB/atom
Calculated volume = 130.03 Å³/cell
DOS(E_F) = 2.5 states/eV/cell
Raw formation energy = -817 meV/atom



10.
Material: ScAlGe2
Method: DFT, PBE
State: relaxed

abc: 3.263 3.263 8.436
angles: 78.85 78.85 60.00
Sites, in units of the cell vectors:
Sc 0.500 0.500 0.500
Al 0.000 0.000 0.000
Ge 0.255 0.255 0.234
Ge 0.745 0.745 0.766

Computed properties:
Total magnetization = 0.000 μB/atom
Calculated volume = 75.85 Å³/cell
DOS(E_F) = 2.1 states/eV/cell
Energy relative to the elements = -0.1568 eV/atom



11.
Material: La2Pr2Te5
Method: DFT, PBE
State: relaxed

abc: 8.525 9.173 9.173
angles: 124.84 90.00 90.00
Sites, in units of the cell vectors:
Te 0.154 0.203 0.481
Te 0.654 0.019 0.297
Te 0.846 0.519 0.797
Te 0.654 0.297 0.019
Te 0.154 0.481 0.203
Te 0.346 0.703 0.981
Te 0.000 0.000 0.000
Te 0.346 0.981 0.703
Te 0.500 0.500 0.500
Te 0.846 0.797 0.519
La 0.000 0.196 0.804
La 0.500 0.696 0.304
La 0.500 0.304 0.696
La 0.000 0.804 0.196
Pr 0.848 0.353 0.353
Pr 0.348 0.147 0.147
Pr 0.652 0.853 0.853
Pr 0.152 0.647 0.647

Computed properties:
Total magnetization = 0.002 μB/atom
Calculated volume = 588.74 Å³/cell
DOS(E_F) = 14.3 states/eV/cell
Raw formation energy = -1489 meV/atom



12.
Material: Sc2SiPb
Method: DFT, PBE
State: relaxed

abc: 4.143 4.507 4.507
angles: 90.00 90.00 90.00
Sites, in units of the cell vectors:
Si 0.500 0.500 0.000
Pb 0.500 0.000 0.500
Sc 0.000 0.000 0.000
Sc 0.000 0.500 0.500

Computed properties:
Total magnetization = 0.215 μB/atom
Calculated volume = 84.18 Å³/cell
DOS(E_F) = 3.6 states/eV/cell
Raw formation energy = -318 meV/atom